# 1
Material: Na2CdTe2
Method: DFT, GGA-PBE
State: optimized geometry

abc: 6.035 6.035 14.302
angles: 90.00 90.00 90.00
Space group I4/mmm (No. 139)
One atom of each set of equivalent atoms:
Na  0.000  0.500  0.250 (multiplicity 4)
Cd  0.000  0.000  0.000 (multiplicity 2)
Te  0.000  0.000  0.184 (multiplicity 4)

As for the crystal system: tetragonal. The calculation puts the calculated total energy at -25.854 eV for the cell shown. For the uncorrected formation energy, the calculation gives -618 meV/atom. Its excess energy over the best structure of this formula in the dataset is 2.33 kcal/mol of atoms. For the density of states at the Fermi level, the calculation gives 0.00 states/eV/atom.

# 2
Material: Al2PdW
Method: DFT, GGA-PBE
State: optimized geometry

abc: 2.8600 2.8600 25.9093
angles: 90.00 90.00 120.00
Space group R-3m (No. 166, hexagonal axes)
One atom of each set of equivalent atoms:
Al  0.0000  0.0000  0.2465 (multiplicity 6)
Pd  0.0000  0.0000  0.5000 (multiplicity 3)
W  0.0000  0.0000  0.0000 (multiplicity 3)

The energy of formation is -0.3309 eV per atom. As for the crystal system: trigonal. The calculation puts the calculated total energy at -80.864 eV for the cell shown. Its excess energy over the best structure of this formula in the dataset is 1.35 kcal/mol of atoms. For the density of states at the Fermi level, the calculation gives 0.40 states/eV/atom.

# 3
Material: Cr2TcMo
Method: DFT, GGA-PBE
State: optimized geometry

abc: 2.628 4.221 4.974
angles: 90.00 100.36 90.00
Space group Pm (No. 6)
One atom of each set of equivalent atoms:
Cr  0.000  0.000  0.000 (multiplicity 1)
Cr  0.251  0.500  0.764 (multiplicity 1)
Tc  0.512  0.000  0.522 (multiplicity 1)
Mo  0.758  0.500  0.250 (multiplicity 1)

The energy of formation is 0.0888 eV per atom. As for the crystal system: monoclinic. The calculation puts the calculated total energy at -40.089 eV for the cell shown. Its excess energy over the best structure of this formula in the dataset is 0.73 kcal/mol of atoms. For the density of states at the Fermi level, the calculation gives 1.02 states/eV/atom.